(1)
## SrIrPb2 (GGA-PBE)

Data for a relaxed SrIrPb2 crystal.

Total magnetization ... 0.00 μB/f.u.
Calculated density ... 11.18 g cm⁻³
Final energy ... -4.351 eV per atom
Symmetry ... No. 119

Lattice parameters (Å, degrees): 5.6352 5.6352 5.6352 129.77 129.77 73.77
Positions (direct):
Sr1 0.0000 0.0000 0.0000
Ir1 0.2500 0.7500 0.5000
Pb1 0.5000 0.5000 0.0000
Pb2 0.7500 0.2500 0.5000

(2)
## AlV2CoC (GGA-PBE)

Data for a relaxed AlV2CoC crystal.

Total magnetization ... 0.01 μB/f.u.
Calculated density ... 4.51 g cm⁻³
Final energy ... -5.824 eV per atom
Symmetry ... No. 123

Lattice parameters (Å, degrees): 4.5691 4.5691 3.5219 90.00 90.00 90.00
Positions (direct):
Al1 0.0000 0.0000 0.0000
V1 0.0000 0.5000 0.0000
V2 0.5000 0.0000 0.0000
Co1 0.5000 0.5000 0.5000
C1 0.0000 0.0000 0.5000

(3)
## Ce5GeSe4 (GGA-PBE)

Data for a relaxed Ce5GeSe4 crystal.

Total magnetization ... 4.33 μB/f.u.
Energy above the most stable polymorph in this dataset ... 13 meV per atom
Calculated density ... 6.84 g cm⁻³
Formation energy from raw total energies ... -1.6145 eV/atom
Symmetry ... No. 139

Lattice parameters (Å, degrees): 15.1972 15.1972 15.1972 164.07 164.07 22.60
Positions (direct):
Ce1 0.0000 0.0000 0.0000
Ce2 0.2003 0.2003 0.0000
Ce3 0.4005 0.4005 0.0000
Ce4 0.5995 0.5995 0.0000
Ce5 0.7997 0.7997 0.0000
Ge1 0.5000 0.5000 0.0000
Se1 0.1003 0.1003 0.0000
Se2 0.3001 0.3001 0.0000
Se3 0.6999 0.6999 0.0000
Se4 0.8997 0.8997 0.0000

Among the records above, which one has the lowest total magnetization?
SrIrPb2

Among the records above, which one has the lowest total magnetization?
SrIrPb2